Entry 1:
# LaNd4In5

A geometry-optimized LaNd4In5 structure (PBE-GGA, Alexandria).

Properties
The crystal system is tetragonal. The uncorrected energy is -4.2693 eV/atom.

a = 3.892 Å, b = 3.892 Å, c = 19.455 Å
α = 90.00°, β = 90.00°, γ = 90.00°
Space group P4/mmm (No. 123)
One atom of each set of equivalent atoms:
La1 0.000 0.000 0.000 (multiplicity 1)
Nd1 0.000 0.000 0.203 (multiplicity 2)
Nd2 0.000 0.000 0.401 (multiplicity 2)
In1 0.500 0.500 0.105 (multiplicity 2)
In2 0.500 0.500 0.302 (multiplicity 2)
In3 0.500 0.500 0.500 (multiplicity 1)

***

Entry 2:
# YZn2CrCu

A geometry-optimized YZn2CrCu structure (PBE-GGA, Alexandria).

Properties
The crystal system is tetragonal. The uncorrected energy is -4.1683 eV/atom.

a = 4.702 Å, b = 4.702 Å, c = 4.599 Å
α = 90.00°, β = 90.00°, γ = 90.00°
Space group P4/mmm (No. 123)
One atom of each set of equivalent atoms:
Y1 0.000 0.000 0.000 (multiplicity 1)
Zn1 0.000 0.500 0.500 (multiplicity 2)
Cr1 0.500 0.500 0.500 (multiplicity 1)
Cu1 0.500 0.500 0.000 (multiplicity 1)

***

Entry 3:
# Er5ZrSc4

A geometry-optimized Er5ZrSc4 structure (PBE-GGA, Alexandria).

Properties
The crystal system is tetragonal. The uncorrected energy is -5.3225 eV/atom.

a = 9.653 Å, b = 9.653 Å, c = 6.001 Å
α = 90.00°, β = 90.00°, γ = 90.00°
Space group I4 (No. 79)
One atom of each set of equivalent atoms:
Er1 0.000 0.000 0.000 (multiplicity 2)
Er2 0.144 0.766 0.296 (multiplicity 8)
Zr1 0.000 0.000 0.550 (multiplicity 2)
Sc1 0.047 0.651 0.785 (multiplicity 8)

***

Entry 4:
# FeRhPb

A geometry-optimized FeRhPb structure (PBE-GGA, Alexandria).

Properties
The crystal system is trigonal. The calculation puts the offset from the most stable computed form at 169 meV per atom.

a = 3.2233 Å, b = 3.2233 Å, c = 6.2857 Å
α = 90.00°, β = 90.00°, γ = 120.00°
Space group P3m1 (No. 156)
One atom of each set of equivalent atoms:
Fe1 0.0000 0.0000 0.0000 (multiplicity 1)
Rh1 0.3333 0.6667 0.7440 (multiplicity 1)
Pb1 0.6667 0.3333 0.3764 (multiplicity 1)

***

Entry 5:
# Hf6ReHg3

A geometry-optimized Hf6ReHg3 structure (PBE-GGA, Alexandria).

Properties
The crystal system is monoclinic. The uncorrected energy is -7.1920 eV/atom.

a = 5.352 Å, b = 8.677 Å, c = 10.830 Å
α = 90.00°, β = 118.37°, γ = 90.00°
Space group P2_1/c (No. 14)
One atom of each set of equivalent atoms:
Hf1 0.015 0.195 0.445 (multiplicity 4)
Hf2 0.375 0.122 0.234 (multiplicity 4)
Hf3 0.377 0.670 0.461 (multiplicity 4)
Re1 0.000 0.000 0.000 (multiplicity 2)
Hg1 0.110 0.086 0.749 (multiplicity 4)
Hg2 0.500 0.000 0.500 (multiplicity 2)

***

Entry 6:
# ScRu2

A geometry-optimized ScRu2 structure (PBE-GGA, Alexandria).

Properties
The crystal system is monoclinic. The uncorrected energy is -8.4884 eV/atom.

a = 10.318 Å, b = 2.882 Å, c = 6.650 Å
α = 90.00°, β = 104.05°, γ = 90.00°
Space group C2/m (No. 12)
One atom of each set of equivalent atoms:
Sc1 0.014 0.000 0.279 (multiplicity 4)
Ru1 0.152 0.500 0.031 (multiplicity 4)
Ru2 0.213 0.500 0.642 (multiplicity 4)